! LiZrCuAs (PBE-GGA, optimized geometry); values from VASP
! - Calculated volume: 63.26 Å³ per cell
! - Offset from the most stable computed form: 0.33 eV/f.u.
! - E_tot: -18.9 eV for the cell shown
&SYSTEM
  ibrav = 0, nat = 4, ntyp = 4
/
ATOMIC_SPECIES
As 74.92 As.upf
Cu 63.55 Cu.upf
Li 6.94 Li.upf
Zr 91.22 Zr.upf
ATOMIC_POSITIONS angstrom
As 0.000 0.000 0.000
Cu -5.562 -5.533 2.441
Li -1.854 -1.844 0.814
Zr -3.708 -3.688 1.628
CELL_PARAMETERS angstrom
-2.124 -3.777 -1.108
-1.028 -2.996 3.157
-4.264 -0.604 1.206

! LiZrCuAs (PBE-GGA, optimized geometry); values from VASP
! - Calculated volume: 63.42 Å³ per cell
! - Offset from the most stable computed form: 0.00 eV/f.u.
! - E_tot: -19.2 eV for the cell shown
&SYSTEM
  ibrav = 0, nat = 4, ntyp = 4
/
ATOMIC_SPECIES
As 74.92 As.upf
Cu 63.55 Cu.upf
Li 6.94 Li.upf
Zr 91.22 Zr.upf
ATOMIC_POSITIONS angstrom
As 0.000 0.000 0.000
Cu 4.748 4.748 4.748
Li 3.165 3.165 3.165
Zr 1.583 1.583 1.583
CELL_PARAMETERS angstrom
0.000 3.165 3.165
3.165 0.000 3.165
3.165 3.165 0.000

! LuCuAs (PBE-GGA, optimized geometry); values from VASP
! - Calculated volume: 56.75 Å³ per cell
! - E_tot: -14.5 eV for the cell shown
&SYSTEM
  ibrav = 0, nat = 3, ntyp = 3
/
ATOMIC_SPECIES
As 74.92 As.upf
Cu 63.55 Cu.upf
Lu 174.97 Lu.upf
ATOMIC_POSITIONS angstrom
As 1.525 1.525 1.525
Cu 0.000 0.000 0.000
Lu 4.575 4.575 4.575
CELL_PARAMETERS angstrom
0.000 3.050 3.050
3.050 0.000 3.050
3.050 3.050 0.000

! Lu2CuAs (PBE-GGA, optimized geometry); values from VASP
! - Calculated volume: 83.97 Å³ per cell
! - E_tot: -17.1 eV for the cell shown
&SYSTEM
  ibrav = 0, nat = 4, ntyp = 3
/
ATOMIC_SPECIES
As 74.92 As.upf
Cu 63.55 Cu.upf
Lu 174.97 Lu.upf
ATOMIC_POSITIONS angstrom
As 1.838 0.981 5.648
Cu 0.919 0.490 2.824
Lu 0.000 0.000 0.000
Lu 2.757 1.471 8.472
CELL_PARAMETERS angstrom
3.887 0.027 3.008
0.297 3.330 3.603
-0.508 -1.396 4.685

! LuCu2As (PBE-GGA, optimized geometry); values from VASP
! - Calculated volume: 66.80 Å³ per cell
! - E_tot: -17.7 eV for the cell shown
&SYSTEM
  ibrav = 0, nat = 4, ntyp = 3
/
ATOMIC_SPECIES
As 74.92 As.upf
Cu 63.55 Cu.upf
Lu 174.97 Lu.upf
ATOMIC_POSITIONS angstrom
As 3.220 3.220 3.220
Cu 0.000 0.000 0.000
Cu 4.831 4.831 4.831
Lu 1.610 1.610 1.610
CELL_PARAMETERS angstrom
0.000 3.220 3.220
3.220 0.000 3.220
3.220 3.220 0.000

! LuCuAs2 (PBE-GGA, optimized geometry); values from VASP
! - Calculated volume: 74.93 Å³ per cell
! - E_tot: -18.2 eV for the cell shown
&SYSTEM
  ibrav = 0, nat = 4, ntyp = 3
/
ATOMIC_SPECIES
As 74.92 As.upf
Cu 63.55 Cu.upf
Lu 174.97 Lu.upf
ATOMIC_POSITIONS angstrom
As 0.000 0.000 0.000
As -1.480 -2.204 -1.161
Cu -4.440 -6.613 -3.484
Lu -2.960 -4.408 -2.322
CELL_PARAMETERS angstrom
-1.668 -4.362 0.764
-4.143 -1.311 -1.874
-0.109 -3.144 -3.535

! LuMgCuAs (PBE-GGA, optimized geometry); values from VASP
! - Calculated volume: 77.62 Å³ per cell
! - Offset from the most stable computed form: 0.00 eV/f.u.
! - E_tot: -14.7 eV for the cell shown
&SYSTEM
  ibrav = 0, nat = 4, ntyp = 4
/
ATOMIC_SPECIES
As 74.92 As.upf
Cu 63.55 Cu.upf
Lu 174.97 Lu.upf
Mg 24.30 Mg.upf
ATOMIC_POSITIONS angstrom
As 0.000 0.000 0.000
Cu 5.079 5.079 5.079
Lu 1.693 1.693 1.693
Mg 3.386 3.386 3.386
CELL_PARAMETERS angstrom
0.000 3.386 3.386
3.386 0.000 3.386
3.386 3.386 0.000

! LuMgCuAs (PBE-GGA, optimized geometry); values from VASP
! - Calculated volume: 77.00 Å³ per cell
! - Offset from the most stable computed form: 0.18 eV/f.u.
! - E_tot: -14.5 eV for the cell shown
&SYSTEM
  ibrav = 0, nat = 4, ntyp = 4
/
ATOMIC_SPECIES
As 74.92 As.upf
Cu 63.55 Cu.upf
Lu 174.97 Lu.upf
Mg 24.30 Mg.upf
ATOMIC_POSITIONS angstrom
As 0.000 0.000 0.000
Cu -5.172 1.255 6.974
Lu -3.448 0.837 4.649
Mg -1.724 0.418 2.325
CELL_PARAMETERS angstrom
-1.023 2.947 3.615
-4.517 0.505 1.464
-1.355 -1.778 4.220

! NdLuCu2As4 (PBE-GGA, optimized geometry); values from VASP
! - Calculated volume: 153.36 Å³ per cell
! - E_tot: -41.7 eV for the cell shown
&SYSTEM
  ibrav = 0, nat = 8, ntyp = 4
/
ATOMIC_SPECIES
As 74.92 As.upf
Cu 63.55 Cu.upf
Lu 174.97 Lu.upf
Nd 144.24 Nd.upf
ATOMIC_POSITIONS angstrom
As 1.965 1.965 3.472
As 0.000 0.000 6.613
As 1.965 0.000 9.816
As 0.000 1.965 9.816
Cu 1.965 0.000 5.037
Cu 0.000 1.965 5.037
Lu 1.965 1.965 7.547
Nd 0.000 0.000 2.326
CELL_PARAMETERS angstrom
3.929 0.000 0.000
0.000 3.929 0.000
0.000 0.000 9.932

! LuCuAsPd (PBE-GGA, optimized geometry); values from VASP
! - Calculated volume: 68.84 Å³ per cell
! - Offset from the most stable computed form: 0.09 eV/f.u.
! - E_tot: -20.1 eV for the cell shown
&SYSTEM
  ibrav = 0, nat = 4, ntyp = 4
/
ATOMIC_SPECIES
As 74.92 As.upf
Cu 63.55 Cu.upf
Lu 174.97 Lu.upf
Pd 106.42 Pd.upf
ATOMIC_POSITIONS angstrom
As 0.000 0.000 0.000
Cu 4.879 4.879 4.879
Lu 3.253 3.253 3.253
Pd 1.626 1.626 1.626
CELL_PARAMETERS angstrom
0.000 3.253 3.253
3.253 0.000 3.253
3.253 3.253 0.000

! LuCuAsPd (PBE-GGA, optimized geometry); values from VASP
! - Calculated volume: 70.01 Å³ per cell
! - Offset from the most stable computed form: 0.00 eV/f.u.
! - E_tot: -20.2 eV for the cell shown
&SYSTEM
  ibrav = 0, nat = 4, ntyp = 4
/
ATOMIC_SPECIES
As 74.92 As.upf
Cu 63.55 Cu.upf
Lu 174.97 Lu.upf
Pd 106.42 Pd.upf
ATOMIC_POSITIONS angstrom
As 0.000 0.000 0.000
Cu -6.772 -4.951 -1.365
Lu -2.257 -1.650 -0.455
Pd -4.515 -3.301 -0.910
CELL_PARAMETERS angstrom
-2.521 -3.498 1.676
-4.586 -0.044 -0.606
-1.922 -3.059 -2.890

! LuCuReAs (PBE-GGA, optimized geometry); values from VASP
! - Calculated volume: 69.08 Å³ per cell
! - Offset from the most stable computed form: 0.88 eV/f.u.
! - E_tot: -23.3 eV for the cell shown
&SYSTEM
  ibrav = 0, nat = 4, ntyp = 4
/
ATOMIC_SPECIES
As 74.92 As.upf
Cu 63.55 Cu.upf
Lu 174.97 Lu.upf
Re 186.21 Re.upf
ATOMIC_POSITIONS angstrom
As 0.000 0.000 0.000
Cu 4.885 4.885 4.885
Lu 1.628 1.628 1.628
Re 3.257 3.257 3.257
CELL_PARAMETERS angstrom
0.000 3.257 3.257
3.257 0.000 3.257
3.257 3.257 0.000

! LuCuReAs (PBE-GGA, optimized geometry); values from VASP
! - Calculated volume: 66.28 Å³ per cell
! - Offset from the most stable computed form: 0.00 eV/f.u.
! - E_tot: -24.2 eV for the cell shown
&SYSTEM
  ibrav = 0, nat = 4, ntyp = 4
/
ATOMIC_SPECIES
As 74.92 As.upf
Cu 63.55 Cu.upf
Lu 174.97 Lu.upf
Re 186.21 Re.upf
ATOMIC_POSITIONS angstrom
As 0.000 0.000 0.000
Cu 4.818 4.818 4.818
Lu 3.212 3.212 3.212
Re 1.606 1.606 1.606
CELL_PARAMETERS angstrom
0.000 3.212 3.212
3.212 0.000 3.212
3.212 3.212 0.000

! LuScCuAs (PBE-GGA, optimized geometry); values from VASP
! - Calculated volume: 78.18 Å³ per cell
! - Offset from the most stable computed form: 0.00 eV/f.u.
! - E_tot: -19.2 eV for the cell shown
&SYSTEM
  ibrav = 0, nat = 4, ntyp = 4
/
ATOMIC_SPECIES
As 74.92 As.upf
Cu 63.55 Cu.upf
Lu 174.97 Lu.upf
Sc 44.96 Sc.upf
ATOMIC_POSITIONS angstrom
As 0.000 0.000 0.000
Cu -2.835 -6.691 -4.994
Lu -1.890 -4.461 -3.329
Sc -0.945 -2.230 -1.665
CELL_PARAMETERS angstrom
0.784 -4.569 -1.242
-3.707 -2.906 -0.921
-0.857 -1.446 -4.496

! LuTaCuAs (PBE-GGA, optimized geometry); values from VASP
! - Calculated volume: 71.10 Å³ per cell
! - Offset from the most stable computed form: 0.00 eV/f.u.
! - E_tot: -23.1 eV for the cell shown
&SYSTEM
  ibrav = 0, nat = 4, ntyp = 4
/
ATOMIC_SPECIES
As 74.92 As.upf
Cu 63.55 Cu.upf
Lu 174.97 Lu.upf
Ta 180.95 Ta.upf
ATOMIC_POSITIONS angstrom
As 0.000 0.000 0.000
Cu -0.339 5.005 6.915
Lu -0.226 3.337 4.610
Ta -0.113 1.668 2.305
CELL_PARAMETERS angstrom
2.419 1.660 3.608
-0.769 4.326 1.521
-2.102 0.687 4.090

! TbLuCu2As4 (PBE-GGA, optimized geometry); values from VASP
! - Calculated volume: 149.21 Å³ per cell
! - E_tot: -41.6 eV for the cell shown
&SYSTEM
  ibrav = 0, nat = 8, ntyp = 4
/
ATOMIC_SPECIES
As 74.92 As.upf
Cu 63.55 Cu.upf
Lu 174.97 Lu.upf
Tb 158.93 Tb.upf
ATOMIC_POSITIONS angstrom
As 0.000 0.000 3.334
As 1.951 1.951 6.518
As 1.951 0.000 9.751
As 0.000 1.951 9.751
Cu 1.951 0.000 4.927
Cu 0.000 1.951 4.927
Lu 0.000 0.000 7.473
Tb 1.951 1.951 2.299
CELL_PARAMETERS angstrom
3.903 0.000 0.000
0.000 3.903 0.000
0.000 0.000 9.796

! LuCuTcAs (PBE-GGA, optimized geometry); values from VASP
! - Calculated volume: 68.70 Å³ per cell
! - Offset from the most stable computed form: 0.96 eV/f.u.
! - E_tot: -22.2 eV for the cell shown
&SYSTEM
  ibrav = 0, nat = 4, ntyp = 4
/
ATOMIC_SPECIES
As 74.92 As.upf
Cu 63.55 Cu.upf
Lu 174.97 Lu.upf
Tc 98.00 Tc.upf
ATOMIC_POSITIONS angstrom
As 0.000 0.000 0.000
Cu -3.406 0.000 7.729
Lu -1.135 0.000 2.576
Tc -2.270 0.000 5.152
CELL_PARAMETERS angstrom
-0.634 -2.474 3.823
0.007 2.070 4.105
-3.914 0.404 2.377

! LuCuTcAs (PBE-GGA, optimized geometry); values from VASP
! - Calculated volume: 65.10 Å³ per cell
! - Offset from the most stable computed form: 0.00 eV/f.u.
! - E_tot: -23.1 eV for the cell shown
&SYSTEM
  ibrav = 0, nat = 4, ntyp = 4
/
ATOMIC_SPECIES
As 74.92 As.upf
Cu 63.55 Cu.upf
Lu 174.97 Lu.upf
Tc 98.00 Tc.upf
ATOMIC_POSITIONS angstrom
As 0.000 0.000 0.000
Cu 4.789 4.789 4.789
Lu 3.193 3.193 3.193
Tc 1.596 1.596 1.596
CELL_PARAMETERS angstrom
0.000 3.193 3.193
3.193 0.000 3.193
3.193 3.193 0.000

! LuZnCuAs (PBE-GGA, optimized geometry); values from VASP
! - Calculated volume: 71.98 Å³ per cell
! - Offset from the most stable computed form: 0.00 eV/f.u.
! - E_tot: -15.1 eV for the cell shown
&SYSTEM
  ibrav = 0, nat = 4, ntyp = 4
/
ATOMIC_SPECIES
As 74.92 As.upf
Cu 63.55 Cu.upf
Lu 174.97 Lu.upf
Zn 65.41 Zn.upf
ATOMIC_POSITIONS angstrom
As 0.000 0.000 0.000
Cu 4.953 4.953 4.953
Lu 1.651 1.651 1.651
Zn 3.302 3.302 3.302
CELL_PARAMETERS angstrom
0.000 3.302 3.302
3.302 0.000 3.302
3.302 3.302 0.000

! LuZnCuAs (PBE-GGA, optimized geometry); values from VASP
! - Calculated volume: 72.21 Å³ per cell
! - Offset from the most stable computed form: 0.29 eV/f.u.
! - E_tot: -14.8 eV for the cell shown
&SYSTEM
  ibrav = 0, nat = 4, ntyp = 4
/
ATOMIC_SPECIES
As 74.92 As.upf
Cu 63.55 Cu.upf
Lu 174.97 Lu.upf
Zn 65.41 Zn.upf
ATOMIC_POSITIONS angstrom
As 0.000 0.000 0.000
Cu 4.958 4.958 4.958
Lu 3.305 3.305 3.305
Zn 1.653 1.653 1.653
CELL_PARAMETERS angstrom
0.000 3.305 3.305
3.305 0.000 3.305
3.305 3.305 0.000